A relaxed Er4CoHg2 crystal, computed with PBE.

Cell lengths 3.8474, 8.0426, 12.1941 Å; angles 90.00, 90.00, 90.00 degrees
Sites, in units of the cell vectors:
Er 0.5000 0.2078 0.4433
Er 0.0000 0.6317 0.8078
Er 0.5000 0.7922 0.5567
Hg 0.5000 0.4295 0.6589
Hg 0.5000 0.9295 0.8411
Co 0.0000 0.5000 0.0000
Er 0.0000 0.1317 0.6922
Co 0.0000 0.0000 0.5000
Er 0.5000 0.2922 0.9433
Hg 0.5000 0.0705 0.1589
Er 0.0000 0.3683 0.1922
Hg 0.5000 0.5705 0.3411
Er 0.0000 0.8683 0.3078
Er 0.5000 0.7078 0.0567

Computed properties:
formation energy from the elements	-1.9	eV/f.u.
polymorph energy (0 for the lowest one)	0.00	kJ per mole of atoms
total magnetization	0.0000	μB per atom
space group	Pbam, No. 55

A relaxed NaC crystal, computed with PBE.

Cell lengths 4.6805, 4.6805, 4.6805 Å; angles 127.01, 109.03, 94.13 degrees
Sites, in units of the cell vectors:
C 0.6163 0.0000 0.6163
Na 0.2450 0.2450 0.0000
C 0.3837 0.0000 0.3837
Na 0.7550 0.7550 0.0000

Computed properties:
formation energy from the elements	0.5	eV/f.u.
polymorph energy (0 for the lowest one)	0.01	kJ per mole of atoms
total magnetization	0.0000	μB per atom
space group	Immm, No. 71

A relaxed AlCrNi2H crystal, computed with PBE.

Cell lengths 3.7135, 3.7135, 3.7155 Å; angles 90.00, 90.00, 90.00 degrees
Sites, in units of the cell vectors:
Al 0.5000 0.5000 0.5000
Ni 0.0000 0.5000 0.0000
H 0.0000 0.0000 0.0000
Ni 0.5000 0.0000 0.0000
Cr 0.0000 0.0000 0.5000

Computed properties:
VASP energy	-5.86	eV per atom
total magnetization	0.7302	μB per atom
space group	P4/mmm, No. 123

A relaxed B5C crystal, computed with PBE.

Cell lengths 4.6324, 5.3898, 4.3385 Å; angles 78.47, 111.60, 125.25 degrees
Sites, in units of the cell vectors:
B 0.3928 0.3073 0.1718
B 0.1468 0.5461 0.6099
C 0.6721 0.3272 0.0231
B 0.3948 0.6622 0.0151
B 0.4695 0.5779 0.4366
B 0.1489 0.9010 0.4532
B 0.8846 0.1571 0.6540
B 0.6003 0.2812 0.6265
C 0.8695 0.8811 0.6019
B 0.0722 0.6305 0.1884
B 0.6570 0.0512 0.9710
B 0.9413 0.9271 0.9985

Computed properties:
formation energy from the elements	2.3	eV/f.u.
polymorph energy (0 for the lowest one)	17.21	kJ per mole of atoms
total magnetization	0.0000	μB per atom
space group	P-1, No. 2

A relaxed NaTbSe2 crystal, computed with PBE.

Cell lengths 4.1485, 4.1485, 14.3378 Å; angles 90.00, 90.00, 120.00 degrees
Sites, in units of the cell vectors:
Se 0.6667 0.3333 0.6130
Na 0.3333 0.6667 0.7500
Se 0.3333 0.6667 0.3870
Na 0.6667 0.3333 0.2500
Tb 0.0000 0.0000 0.0000
Se 0.3333 0.6667 0.1130
Tb 0.0000 0.0000 0.5000
Se 0.6667 0.3333 0.8870

Computed properties:
E_form (uncorrected)	-1.689	eV/atom
total magnetization	0.0000	μB per atom
space group	P6_3/mmc, No. 194

A relaxed Pr2SmThSb4 crystal, computed with PBE.

Cell lengths 4.5280, 7.8239, 7.8389 Å; angles 109.45, 90.00, 90.00 degrees
Sites, in units of the cell vectors:
Pr 0.5000 0.0000 0.5000
Sb 0.0000 0.2507 0.7542
Sm 0.0000 0.0000 0.0000
Sb 0.5000 0.7521 0.7553
Sb 0.0000 0.7493 0.2458
Pr 0.0000 0.5000 0.5000
Sb 0.5000 0.2479 0.2447
Th 0.5000 0.5000 0.0000

Computed properties:
E_form (uncorrected)	-1.139	eV/atom
total magnetization	0.0000	μB per atom
space group	P2/m, No. 10

> Among the records above, which one has the highest total magnetization?

AlCrNi2H

> Which value of total magnetization does entry 2 give?

0.0000 μB per atom

> Which value of total magnetization does entry 4 give?

0.0000 μB per atom